No. 1
8
Lattice="3.667 0.000 0.000 0.000 3.667 0.000 1.834 1.834 8.653" Properties=species:S:1:pos:R:3 comment="LiCu2Ge (GGA-PBE, optimized geometry)" energy_ev_per_atom=-3.54 e_form_kj_per_mol_atoms=13.4 pbc="T T T"
Ge 3.667 1.834 4.326
Li 1.834 1.834 0.000
Ge 0.000 0.000 0.000
Cu 2.750 2.707 6.489
Cu 2.793 0.917 2.163
Li 1.834 3.667 4.326
Cu 4.584 4.627 6.489
Cu 0.874 2.750 2.163

No. 2
16
Lattice="-3.050 -1.550 7.161 -7.393 -2.815 0.639 -1.191 -7.547 2.257" Properties=species:S:1:pos:R:3 comment="Er5Hf3As8 (GGA-PBE, optimized geometry)" energy_ev_per_atom=-6.93 e_form_kj_per_mol_atoms=-126.7 pbc="T T T"
As -6.586 -4.447 2.783
As -5.048 -7.465 7.273
As -7.264 -8.111 3.946
As -4.370 -3.801 6.111
Er -5.222 -2.182 3.900
As -3.492 -6.674 3.619
Er -1.525 -0.775 3.580
As -8.759 -8.845 7.548
Er 0.000 0.000 0.000
As -2.875 -3.067 2.509
Hf -4.292 -5.181 1.448
Er -3.696 -1.407 0.320
Hf -0.595 -3.774 1.128
Er -5.817 -5.956 5.028
As -8.143 -5.238 6.437
Hf -2.121 -4.549 4.709

No. 3
12
Lattice="-1.856 -1.712 -2.554 5.504 -0.976 -3.346 6.439 -16.041 6.073" Properties=species:S:1:pos:R:3 comment="La2Nd7Er3 (GGA-PBE, optimized geometry)" energy_ev_per_atom=-4.68 e_above_lowest_polymorph_ev_per_atom=0.000 e_form_kj_per_mol_atoms=6.3 pbc="T T T"
Nd 4.118 -3.163 -0.872
Nd 3.625 -9.177 0.992
Er 1.824 -1.344 -2.950
Nd 6.462 -9.552 -0.819
Er 9.118 -11.427 1.033
La 5.526 -11.980 1.489
La 4.561 -6.748 -1.316
Nd 7.825 -13.853 3.599
Nd 0.494 -3.627 -0.453
Nd 0.000 0.000 0.000
Er 2.825 -5.590 1.693
Nd 9.593 -15.101 0.625

No. 4
10
Lattice="4.392 0.000 0.000 0.000 4.392 0.000 0.000 0.000 15.625" Properties=species:S:1:pos:R:3 comment="TbHoTe2S (GGA-PBE, optimized geometry)" energy_ev_per_atom=-5.39 formation_energy_uncorrected_ev_per_atom=-1.46 pbc="T T T"
Tb 2.196 0.000 9.387
Te 2.196 0.000 14.192
Te 0.000 2.196 10.948
Ho 2.196 0.000 1.783
Ho 0.000 2.196 13.842
Te 2.196 0.000 4.677
S 0.000 0.000 7.812
Te 0.000 2.196 1.433
S 2.196 2.196 7.812
Tb 0.000 2.196 6.238

No. 5
4
Lattice="-3.803 1.993 -0.982 -0.417 -1.960 -2.362 -2.349 -2.693 3.630" Properties=species:S:1:pos:R:3 comment="BeTeW2 (GGA-PBE, optimized geometry)" energy_ev_per_atom=-7.48 e_above_lowest_polymorph_ev_per_atom=0.405 formation_energy_uncorrected_ev_per_atom=0.71 pbc="T T T"
Be -1.313 -2.285 0.448
Te -3.923 -2.585 0.069
W -0.507 -1.883 -1.858
W -2.626 -0.194 -0.102

No. 6
14
Lattice="6.517 0.000 -2.243 0.000 6.943 0.000 0.287 0.000 10.266" Properties=species:S:1:pos:R:3 comment="K2Hg4Bi (GGA-PBE, optimized geometry)" energy_ev_per_atom=-1.27 e_above_lowest_polymorph_ev_per_atom=0.000 e_form_kj_per_mol_atoms=-22.4 pbc="T T T"
Hg 2.142 1.736 3.441
K 4.897 5.207 8.584
Hg 4.661 5.207 4.581
Hg 1.546 5.207 0.500
Hg 5.258 1.736 7.523
Hg 3.856 6.741 1.910
Bi 1.120 5.207 7.765
Hg 3.856 3.673 1.910
Bi 5.684 1.736 0.257
Hg 2.948 0.201 6.112
K 5.939 1.736 4.140
Hg 2.948 3.270 6.112
K 0.864 5.207 3.882
K 1.907 1.736 -0.562